No. 1
Entry from Alexandria via LeMat-Bulk: a relaxed structure of CsHf2Rh2 (PBE).

Output
The value obtained for the final energy is -71.544 eV for the cell shown. The relative energy among the computed polymorphs comes out at 0 meV/atom. The formation energy is -6 kJ per mole of atoms. The total magnetization comes out at 0.00 μB per formula unit. The density is 10.56 g cm⁻³.

POSCAR file:
```
CsHf2Rh2
1.0
8.3483 0.0000 0.0000
0.0000 8.3483 0.0000
0.0000 0.0000 3.1385
Cs Hf Rh
2 4 4
Direct
0.0000 0.0000 0.0000
0.5000 0.5000 0.0000
0.1361 0.3639 0.0000
0.3639 0.8639 0.0000
0.6361 0.1361 0.0000
0.8639 0.6361 0.0000
0.1334 0.6334 0.5000
0.3666 0.1334 0.5000
0.6334 0.8666 0.5000
0.8666 0.3666 0.5000
```

---

No. 2
Entry from Alexandria via LeMat-Bulk: a relaxed structure of CsHf2Rh (PBE).

Output
The value obtained for the final energy is -24.793 eV for the cell shown. The relative energy among the computed polymorphs comes out at 0 meV/atom. The formation energy is 80 kJ per mole of atoms. The total magnetization comes out at 0.00 μB per formula unit. The density is 11.38 g cm⁻³.

POSCAR file:
```
CsHf2Rh
1.0
0.0000 3.5100 3.5100
3.5100 0.0000 3.5100
3.5100 3.5100 0.0000
Cs Hf Rh
1 2 1
Direct
0.0000 0.0000 0.0000
0.2500 0.2500 0.2500
0.7500 0.7500 0.7500
0.5000 0.5000 0.5000
```

---

No. 3
Entry from Alexandria via LeMat-Bulk: a relaxed structure of Cs2HfRh (PBE).

Output
The value obtained for the final energy is -32.391 eV for the cell shown. The formation energy is 68 kJ per mole of atoms. The total magnetization comes out at 0.00 μB per formula unit. The density is 3.89 g cm⁻³.

POSCAR file:
```
Cs2HfRh
1.0
-6.9897 6.9897 2.3923
6.9897 -6.9897 2.3923
6.9897 6.9897 -2.3923
Cs Hf Rh
4 2 2
Direct
0.3750 0.2045 0.3295
0.7955 0.1250 0.1705
0.8750 0.0455 0.6705
0.9545 0.6250 0.8295
0.2500 0.7500 0.5000
0.5000 0.5000 0.0000
0.0000 0.0000 0.0000
0.7500 0.2500 0.5000
```

---

No. 4
Entry from Alexandria via LeMat-Bulk: a relaxed structure of CsHfRh2S (PBE).

Output
The value obtained for the final energy is -18.766 eV for the cell shown. The total magnetization comes out at 0.00 μB per formula unit. The density is 7.04 g cm⁻³.

POSCAR file:
```
CsHfRh2S
1.0
4.8397 0.0000 0.0000
0.0000 4.8397 0.0000
0.0000 0.0000 5.5313
Cs Hf Rh S
1 1 2 1
Direct
0.0000 0.0000 0.0000
0.0000 0.0000 0.5000
0.0000 0.5000 0.0000
0.5000 0.0000 0.0000
0.5000 0.5000 0.5000
```

---

No. 5
Entry from Alexandria via LeMat-Bulk: a relaxed structure of CsYHf2Rh (PBE).

Output
The value obtained for the final energy is -23.621 eV for the cell shown. The formation energy is 211 kJ per mole of atoms. The total magnetization comes out at 0.00 μB per formula unit. The density is 7.83 g cm⁻³.

POSCAR file:
```
CsYHf2Rh
1.0
5.1878 0.0000 0.0000
0.0000 5.1878 0.0000
0.0000 0.0000 5.3716
Cs Y Hf Rh
1 1 2 1
Direct
0.0000 0.0000 0.0000
0.0000 0.0000 0.5000
0.0000 0.5000 0.0000
0.5000 0.0000 0.0000
0.5000 0.5000 0.5000
```

---

No. 6
Entry from Alexandria via LeMat-Bulk: a relaxed structure of CsHf2ZrRh (PBE).

Output
The value obtained for the final energy is -30.571 eV for the cell shown. The formation energy is 117 kJ per mole of atoms. The total magnetization comes out at 0.00 μB per formula unit. The density is 7.72 g cm⁻³.

POSCAR file:
```
CsHf2ZrRh
1.0
5.4409 0.0000 0.0000
0.0000 5.4409 0.0000
0.0000 0.0000 4.9721
Cs Hf Zr Rh
1 2 1 1
Direct
0.0000 0.0000 0.0000
0.0000 0.5000 0.5000
0.5000 0.0000 0.5000
0.5000 0.5000 0.5000
0.5000 0.5000 0.0000
```